No. 1
Computed, not measured: crystalline Pm3SnAu at its relaxed geometry at the PBE level of DFT.

Output
**Energy relative to the elements**: -2.98 eV per formula unit
**ρ**: 8405 kg/m³
**M_tot**: 0.00 μB per formula unit

```
Pm3SnAu
1.0
11.298 0.000 0.000
0.000 4.872 0.000
-7.123 0.000 10.778
Pm Sn Au
12 4 4
direct
0.086 0.002 0.193 Pm
0.086 0.498 0.693 Pm
0.313 0.000 0.972 Pm
0.313 0.500 0.472 Pm
0.318 0.501 0.185 Pm
0.318 0.999 0.685 Pm
0.682 0.001 0.315 Pm
0.682 0.499 0.815 Pm
0.687 0.000 0.028 Pm
0.687 0.500 0.528 Pm
0.914 0.502 0.307 Pm
0.914 0.998 0.807 Pm
0.436 0.000 0.365 Sn
0.436 0.500 0.865 Sn
0.564 0.000 0.635 Sn
0.564 0.500 0.135 Sn
0.077 0.002 0.428 Au
0.077 0.498 0.928 Au
0.923 0.502 0.072 Au
0.923 0.998 0.572 Au
```

No. 2
Computed, not measured: crystalline HfZnHg at its relaxed geometry at the PBE level of DFT.

Output
**Energy relative to the elements**: 0.04 eV per formula unit
**Offset from the most stable computed form**: 0.076 eV per atom
**ρ**: 12199 kg/m³
**M_tot**: 0.00 μB per formula unit

```
HfZnHg
1.0
3.142 0.000 0.000
0.000 6.067 0.000
0.000 0.000 12.699
Hf Zn Hg
4 4 4
direct
0.000 0.246 0.000 Hf
0.000 0.754 0.000 Hf
0.500 0.254 0.500 Hf
0.500 0.746 0.500 Hf
0.000 0.500 0.348 Zn
0.000 0.500 0.652 Zn
0.500 0.000 0.152 Zn
0.500 0.000 0.848 Zn
0.000 0.000 0.331 Hg
0.000 0.000 0.669 Hg
0.500 0.500 0.169 Hg
0.500 0.500 0.831 Hg
```

No. 3
Computed, not measured: crystalline NaZrW3 at its relaxed geometry at the PBE level of DFT.

Output
**Energy relative to the elements**: 12.97 eV per formula unit
**Offset from the most stable computed form**: 0.118 eV per atom
**ρ**: 11466 kg/m³
**M_tot**: 0.00 μB per formula unit

```
NaZrW3
1.0
4.585 0.000 0.000
0.000 4.585 0.000
0.000 0.000 4.585
Na Zr W
1 1 3
direct
0.000 0.000 0.000 Na
0.500 0.500 0.500 Zr
0.000 0.000 0.500 W
0.000 0.500 0.000 W
0.500 0.000 0.000 W
```

No. 4
Computed, not measured: crystalline Li2CaTa at its relaxed geometry at the PBE level of DFT.

Output
**Energy relative to the elements**: 2.27 eV per formula unit
**Offset from the most stable computed form**: 0.118 eV per atom
**ρ**: 4629 kg/m³
**M_tot**: 0.00 μB per formula unit

```
Li2CaTa
1.0
2.979 0.000 0.000
0.000 2.979 0.000
0.000 0.000 9.498
Li Ca Ta
2 1 1
direct
0.000 0.000 0.220 Li
0.000 0.000 0.780 Li
0.500 0.500 0.500 Ca
0.500 0.500 0.000 Ta
```

No. 5
Computed, not measured: crystalline YPu3 at its relaxed geometry at the PBE level of DFT.

Output
**Energy relative to the elements**: 1.14 eV per formula unit
**Offset from the most stable computed form**: 0.013 eV per atom
**ρ**: 13444 kg/m³
**M_tot**: 5.36 μB per formula unit

```
YPu3
1.0
3.562 0.000 0.000
0.000 5.236 0.000
0.000 0.000 5.436
Y Pu
1 3
direct
0.000 0.000 0.000 Y
0.000 0.500 0.567 Pu
0.500 0.000 0.510 Pu
0.500 0.500 0.237 Pu
```

No. 6
Computed, not measured: crystalline ReGeRu2S at its relaxed geometry at the PBE level of DFT.

Output
**Formation energy (no corrections)**: 1.22 eV/atom
**ρ**: 8087 kg/m³
**M_tot**: 0.14 μB per formula unit

```
ReGeRu2S
1.0
4.780 0.000 0.000
0.000 4.780 0.000
0.000 0.000 4.431
Re Ge Ru S
1 1 2 1
direct
0.000 0.000 0.000 Re
0.500 0.500 0.500 Ge
0.000 0.500 0.000 Ru
0.500 0.000 0.000 Ru
0.000 0.000 0.500 S
```

No. 7
Computed, not measured: crystalline Rb2BeSeBr6 at its relaxed geometry at the PBE level of DFT.

Output
**Formation energy (no corrections)**: -0.83 eV/atom
**ρ**: 3793 kg/m³
**M_tot**: 0.00 μB per formula unit

```
Rb2BeSeBr6
1.0
-3.793 3.793 5.615
3.793 -3.793 5.615
3.793 3.793 -5.615
Rb Be Se Br
2 1 1 6
direct
0.250 0.750 0.500 Rb
0.750 0.250 0.500 Rb
0.000 0.000 0.000 Be
0.500 0.500 0.000 Se
0.217 0.217 0.434 Br
0.217 0.783 0.000 Br
0.272 0.272 0.000 Br
0.728 0.728 0.000 Br
0.783 0.217 0.000 Br
0.783 0.783 0.566 Br
```

No. 8
Computed, not measured: crystalline KWBr2 at its relaxed geometry at the PBE level of DFT.

Output
**Offset from the most stable computed form**: 0.232 eV per atom
**Formation energy (no corrections)**: 0.42 eV/atom
**ρ**: 6305 kg/m³
**M_tot**: 2.04 μB per formula unit

```
KWBr2
1.0
3.982 0.000 0.000
0.000 6.090 0.000
0.000 0.000 8.314
K W Br
2 2 4
direct
0.000 0.000 0.000 K
0.500 0.500 0.000 K
0.000 0.000 0.500 W
0.500 0.500 0.500 W
0.000 0.500 0.286 Br
0.000 0.500 0.714 Br
0.500 0.000 0.286 Br
0.500 0.000 0.714 Br
```

- The lowest ρ belongs to which entry?
  Rb2BeSeBr6

What did the sixth record say?
Computed, not measured: crystalline ReGeRu2S at its relaxed geometry at the PBE level of DFT.

Output
**Formation energy (no corrections)**: 1.22 eV/atom
**ρ**: 8087 kg/m³
**M_tot**: 0.14 μB per formula unit

```
ReGeRu2S
1.0
4.780 0.000 0.000
0.000 4.780 0.000
0.000 0.000 4.431
Re Ge Ru S
1 1 2 1
direct
0.000 0.000 0.000 Re
0.500 0.500 0.500 Ge
0.000 0.500 0.000 Ru
0.500 0.000 0.000 Ru
0.000 0.000 0.500 S
```

- Number 8 is which compound?
  KWBr2

- M_tot of number 2 (HfZnHg)?
  0.00 μB per formula unit